A relaxed Cd4SbPd7 crystal. Source: Alexandria, functional PBE.

```
data_Cd4SbPd7
_cell_length_a 10.184
_cell_length_b 4.967
_cell_length_c 9.853
_cell_angle_alpha 90.00
_cell_angle_beta 114.31
_cell_angle_gamma 90.00
_symmetry_space_group_name_H-M 'C 1 2/m 1'
_symmetry_Int_Tables_number 12
loop_
_symmetry_equiv_pos_as_xyz
'x,y,z'
'-x,-y,-z'
'-x,y,-z'
'x,-y,z'
'x+1/2,y+1/2,z'
'-x+1/2,-y+1/2,-z'
'-x+1/2,y+1/2,-z'
'x+1/2,-y+1/2,z'
loop_
_atom_site_label
_atom_site_type_symbol
_atom_site_fract_x
_atom_site_fract_y
_atom_site_fract_z
Cd1 Cd 0.109 0.000 0.274
Cd2 Cd 0.162 0.500 0.121
Sb1 Sb 0.000 0.500 0.500
Pd1 Pd 0.000 0.000 0.500
Pd2 Pd 0.086 0.500 0.799
Pd3 Pd 0.133 0.000 0.988
Pd4 Pd 0.210 0.500 0.418
```

## Properties
- Total DFT energy (no corrections): -0.1431 Ha/atom
- DOS at the Fermi energy: 3.63 states/eV/f.u.
- Magnetization: 0.0 μB per formula unit
- Formation energy from raw total energies: -2.60 eV/f.u.